Record 1
Below is Sr2LiInCl6 after structural relaxation, with properties calculated at the PBE-GGA level.

Lattice parameters (Å, degrees): 7.3229 7.3229 19.8013 90.00 90.00 120.00
Closest atoms and distances in Å follow each position.
Space group R3 (No. 146, hexagonal axes)
Symmetry-distinct sites (fractional):
Sr 0.0000 0.0000 0.0000 x3  6 Cl 2.89-2.94
Sr 0.0000 0.0000 0.4871 x3  6 Cl 2.91-2.96
Li 0.0000 0.0000 0.6845 x3  6 Cl 2.68-2.73
In 0.0000 0.0000 0.2031 x3  6 Cl 3.03-3.39
Cl 0.0080 0.3527 0.4169 x9  1 Li 2.68, 2 Sr 2.91-2.94
Cl 0.0304 0.7347 0.5940 x9  1 Li 2.73, 2 Sr 2.89-2.96, 1 In 3.03

Computed properties:
The total DFT energy (no corrections) comes out at -116.33 eV per cell. Its uncorrected formation energy is -1.968 eV/atom.



Record 2
Below is Cs2NaH6Ru after structural relaxation, with properties calculated at the PBE-GGA level.

Lattice parameters (Å, degrees): 6.3328 6.3328 5.6607 90.00 90.00 120.00
Closest atoms and distances in Å follow each position.
Space group P-3m1 (No. 164)
Symmetry-distinct sites (fractional):
Cs 0.3333 0.6667 0.2914 x2  9 H 3.12-3.20
Na 0.0000 0.0000 0.0000 x1  6 H 2.32
H 0.1298 0.2596 0.6769 x6  1 Ru 1.74
Ru 0.0000 0.0000 0.5000 x1  6 H 1.74

Computed properties:
The total DFT energy (no corrections) comes out at -33.97 eV per cell.



Record 3
Below is HfSc2Se4 after structural relaxation, with properties calculated at the PBE-GGA level.

Lattice parameters (Å, degrees): 14.1414 3.8395 6.7583 90.00 118.01 90.00
Closest atoms and distances in Å follow each position.
Space group C2/m (No. 12)
Symmetry-distinct sites (fractional):
Hf 0.0000 0.0000 0.0000 x2  6 Se 2.67-2.73
Sc 0.2462 0.5000 0.7644 x4  6 Se 2.69-2.83
Se 0.1192 0.0000 0.7891 x4  1 Hf 2.67, 3 Sc 2.69-2.71
Se 0.1259 0.5000 0.2921 x4  2 Hf 2.73, 3 Sc 2.78-2.83

Computed properties:
The total DFT energy (no corrections) comes out at -94.37 eV per cell. Its uncorrected formation energy is -1.519 eV/atom.



Record 4
Below is YSc2Te after structural relaxation, with properties calculated at the PBE-GGA level.

Lattice parameters (Å, degrees): 3.6870 4.8818 6.1697 90.00 106.84 90.00
Closest atoms and distances in Å follow each position.
Space group P2/m (No. 10)
Symmetry-distinct sites (fractional):
Y 0.0000 0.0000 0.0000 x1  2 Te 3.10, 8 Sc 3.42-3.47
Sc 0.3588 0.5000 0.7313 x2  2 Te 2.95, 2 Sc 3.17-3.28
Te 0.5000 0.0000 0.5000 x1  4 Sc 2.95, 2 Y 3.10

Computed properties:
The total DFT energy (no corrections) comes out at -23.92 eV per cell. Its uncorrected formation energy is -0.413 eV/atom.



Record 5
Below is Sm12Zn6Os after structural relaxation, with properties calculated at the PBE-GGA level.

Lattice parameters (Å, degrees): 11.8856 11.8856 13.2965 90.00 90.00 120.00
Closest atoms and distances in Å follow each position.
Space group R-3 (No. 148, hexagonal axes)
Symmetry-distinct sites (fractional):
Sm 0.0361 0.8411 0.3724 x18  1 Os 2.73
Sm 0.0416 0.1953 0.8922 x18  4 Zn 3.05-3.25
Zn 0.0028 0.4031 0.7598 x18  8 Sm 3.05-3.31
Os 0.0000 0.0000 0.5000 x3  6 Sm 2.73

Computed properties:
The total DFT energy (no corrections) comes out at -231.29 eV per cell. Its formation energy is -0.0838 eV/atom.



Record 6
Below is In2FeTc after structural relaxation, with properties calculated at the PBE-GGA level.

Lattice parameters (Å, degrees): 3.3286 4.1933 5.4651 90.00 107.64 90.00
Closest atoms and distances in Å follow each position.
Space group Pm (No. 6)
Symmetry-distinct sites (fractional):
In 0.0000 0.0000 0.0000 x1  3 Fe 2.83-2.92, 4 Tc 2.87
In 0.3207 0.5000 0.6428 x1  3 Tc 2.84-2.90, 4 Fe 2.88
Fe 0.7193 0.0000 0.4401 x1  2 Tc 2.44
Tc 0.6001 0.5000 0.2005 x1  2 Fe 2.44

Computed properties:
For the polymorph energy (0 for the lowest one), the calculation gives 0.115 eV per atom. The total DFT energy (no corrections) comes out at -22.95 eV per cell. Its formation energy is 0.3392 eV/atom.



Question: The lowest total DFT energy (no corrections) belongs to which entry?
Answer: Sm12Zn6Os